Computed, not measured: a relaxed Nb2CrO8 crystal at the PBE+U level of DFT.

Unit cell a=10.463 b=10.463 c=4.933 alpha=89.37 beta=89.37 gamma=34.04
Element x y z (fractional)
Cr (0.335, 0.665, 0.750)
O (0.429, 0.194, 0.866)
O (0.448, 0.655, 0.444)
Nb (0.931, 0.327, 0.745)
Nb (0.327, 0.931, 0.245)
O (0.571, 0.806, 0.134)
O (0.552, 0.345, 0.556)
O (0.242, 0.068, 0.585)
O (0.777, 0.117, 0.093)
O (0.758, 0.932, 0.415)
O (0.806, 0.571, 0.634)
O (0.068, 0.242, 0.085)
Cr (0.665, 0.335, 0.250)
Nb (0.673, 0.069, 0.755)
O (0.932, 0.758, 0.915)
O (0.345, 0.552, 0.056)
O (0.194, 0.429, 0.366)
Nb (0.069, 0.673, 0.255)
O (0.117, 0.777, 0.593)
O (0.223, 0.883, 0.907)
O (0.655, 0.448, 0.944)
O (0.883, 0.223, 0.407)

Results
**Total magnetization**: 0.000 μB per cell
**E**: -7.8710 eV per atom
**Symmetry**: C2/c, No. 15